[1]
Sc6Ru5: relaxed, PBE-GGA.

## Properties
**Energy of formation from the pure elements**: -5.335 eV/f.u.
**Symmetry**: Immm (71)

Structure (POSCAR):
```
Sc6Ru5
1.0
4.361 0.004 -1.349
-0.743 5.927 -2.377
0.022 -0.361 7.787
Ru Sc
5 6
Direct
0.331 0.831 0.662
0.000 0.500 0.000
0.664 0.664 0.329
0.669 0.169 0.338
0.336 0.336 0.671
0.167 0.418 0.335
0.500 0.747 0.000
0.833 0.582 0.665
0.500 0.253 0.000
0.167 0.916 0.335
0.833 0.084 0.665
```

***

[2]
SnIrN3: relaxed, PBE-GGA.

## Properties
**Energy relative to the elements, uncorrected**: 1.18 eV per atom
**Symmetry**: Pm-3m (221)

Structure (POSCAR):
```
SnIrN3
1.0
3.931 0.000 0.000
0.000 3.931 0.000
0.000 0.000 3.931
Sn N Ir
1 3 1
Direct
0.500 0.500 0.500
0.500 0.000 0.000
0.000 0.500 0.000
0.000 0.000 0.500
0.000 0.000 0.000
```

***

[3]
Yb2HgPb: relaxed, PBE-GGA.

## Properties
**Energy of formation from the pure elements**: -2.641 eV/f.u.
**Symmetry**: Fm-3m (225)

Structure (POSCAR):
```
Yb2HgPb
1.0
5.414 -0.008 0.015
2.716 4.653 -0.517
2.698 2.040 4.224
Yb Hg Pb
2 1 1
Direct
0.500 0.500 0.500
0.000 0.000 0.000
0.250 0.250 0.250
0.750 0.750 0.750
```

***

[4]
Ta2BeCo: relaxed, PBE-GGA.

## Properties
**Energy of formation from the pure elements**: 0.035 eV/f.u.
**Symmetry**: I4/mmm (139)

Structure (POSCAR):
```
Ta2BeCo
1.0
4.518 -0.224 -0.006
2.934 3.443 -0.006
1.816 0.785 3.478
Ta Be Co
2 1 1
Direct
0.000 0.000 0.000
0.500 0.500 0.500
0.750 0.750 0.750
0.250 0.250 0.250
```

***

| no. | DFT total energy (eV/atom) |
| --- | --- |
| 1 | -8.155 |
| 2 | -6.384 |
| 3 | -2.426 |
| 4 | -8.626 |